Entry from the Alexandria database: crystalline NdLuAu at its relaxed geometry (PBE).

Cell and atoms, written as POSCAR:
```
NdLuAu
1.0
-1.7937 1.7937 6.3268
1.7937 -1.7937 6.3268
1.7937 1.7937 -6.3268
Nd Lu Au
1 1 1
Direct
0.0000 0.0000 0.0000
0.2874 0.2874 0.0000
0.6691 0.6691 0.0000
```

Output
The polymorph energy (0 for the lowest one) comes out at 0 meV per atom. The formation energy is -0.5336 eV/atom.